Entry 1:
Computed, not measured: an optimized crystal structure of Nd2NbSbN5 at the GGA-PBE level of DFT.

```
18
Lattice="1.690 -6.942 0.000 1.690 6.942 0.000 0.000 0.000 10.769" Properties=species:S:1:pos:R:3 pbc="T T T"
Nd 1.690 5.372 5.385
Nd 1.690 4.909 0.841
Nd 1.690 -4.909 6.226
Nd 1.690 -5.372 0.000
Nb 1.690 3.759 8.699
Nb 1.690 -3.759 3.314
Sb 1.690 0.358 2.797
Sb 1.690 -0.358 8.182
N 1.690 6.161 9.244
N 1.690 3.051 4.726
N 1.690 2.592 1.914
N 1.690 1.812 8.639
N 1.690 0.119 6.234
N 1.690 -0.119 0.850
N 1.690 -1.812 3.254
N 1.690 -2.592 7.298
N 1.690 -3.051 10.111
N 1.690 -6.161 3.860
```

Output
The crystal system is orthorhombic. The calculation puts the density of states at the Fermi level at 0.193 states/eV per atom. For the calculated volume, the calculation gives 126.3 Å³/f.u. The value obtained for the energy relative to the elements, uncorrected is -15.92 kcal/mol of atoms. The calculation puts the total magnetization at 0.00 μB/f.u.


Entry 2:
Computed, not measured: an optimized crystal structure of LiTeS2Cl at the GGA-PBE level of DFT.

```
5
Lattice="5.112 0.000 0.000 0.000 5.112 0.000 0.000 0.000 5.360" Properties=species:S:1:pos:R:3 pbc="T T T"
Li 0.000 0.000 0.000
Te 2.556 2.556 2.680
S 0.000 2.556 2.680
S 2.556 0.000 2.680
Cl 2.556 2.556 0.000
```

Output
The crystal system is tetragonal. The calculation puts the relative energy among the computed polymorphs at 0 meV per atom. The calculation puts the density of states at the Fermi level at 0.317 states/eV per atom. For the calculated volume, the calculation gives 140.0 Å³/f.u. The value obtained for the energy relative to the elements, uncorrected is -3.31 kcal/mol of atoms. The calculation puts the total magnetization at 0.00 μB/f.u.


Entry 3:
Computed, not measured: an optimized crystal structure of U2Ge2Ru at the GGA-PBE level of DFT.

```
10
Lattice="2.324 -7.165 0.000 2.324 7.165 0.000 0.000 0.000 5.750" Properties=species:S:1:pos:R:3 pbc="T T T"
U 2.324 6.840 2.875
U 2.324 4.364 1.976
U 2.324 -4.364 4.851
U 2.324 -6.840 0.000
Ge 2.324 4.597 4.855
Ge 2.324 1.088 4.103
Ge 2.324 -1.088 1.228
Ge 2.324 -4.597 1.980
Ru 2.324 1.612 1.535
Ru 2.324 -1.612 4.410
```

Output
The crystal system is orthorhombic. The calculation puts the density of states at the Fermi level at 1.326 states/eV per atom. For the calculated volume, the calculation gives 95.7 Å³/f.u. Its formation energy is -0.25 eV per atom. The calculation puts the total magnetization at 2.37 μB/f.u.


Entry 4:
Computed, not measured: an optimized crystal structure of NdYZnAu at the GGA-PBE level of DFT.

```
4
Lattice="3.661 0.000 0.000 0.000 3.661 0.000 0.000 0.000 7.235" Properties=species:S:1:pos:R:3 pbc="T T T"
Nd 0.000 0.000 0.000
Y 0.000 0.000 3.646
Zn 1.831 1.831 5.349
Au 1.831 1.831 1.972
```

Output
The crystal system is tetragonal. The calculation puts the relative energy among the computed polymorphs at 0 meV per atom. The calculation puts the density of states at the Fermi level at 0.899 states/eV per atom. For the calculated volume, the calculation gives 97.0 Å³/f.u. Its formation energy is -0.57 eV per atom. The calculation puts the total magnetization at 0.00 μB/f.u.


Entry 5:
Computed, not measured: an optimized crystal structure of Cs2U3O10 at the GGA-PBE level of DFT.

```
30
Lattice="10.110 -3.468 0.000 10.110 3.468 0.000 -3.351 0.000 8.081" Properties=species:S:1:pos:R:3 pbc="T T T"
Cs 1.504 0.000 1.704
Cs 1.423 0.000 6.646
Cs 15.447 0.000 1.435
Cs 15.365 0.000 6.377
U 8.435 1.742 4.040
U 4.732 0.000 4.023
U 8.420 0.000 0.260
U 8.450 0.000 7.820
U 12.137 0.000 4.058
U 8.435 -1.742 4.040
O 3.380 1.734 4.040
O -1.752 0.000 5.290
O 7.210 1.455 0.267
O 6.458 1.620 3.983
O 4.702 0.000 2.180
O 10.110 1.277 0.000
O 4.833 0.000 5.945
O 10.412 1.620 4.098
O 9.659 1.455 7.814
O 8.509 0.000 2.687
O 3.380 -1.734 4.040
O 8.361 0.000 5.393
O 7.210 -1.455 0.267
O 6.458 -1.620 3.983
O 12.037 0.000 2.135
O 10.110 -1.277 0.000
O 12.167 0.000 5.900
O 10.412 -1.620 4.098
O 9.659 -1.455 7.814
O 18.621 0.000 2.791
```

Output
The crystal system is monoclinic. For the calculated volume, the calculation gives 283.4 Å³/f.u. The value obtained for the energy relative to the elements, uncorrected is -66.48 kcal/mol of atoms. The calculation puts the total magnetization at 0.00 μB/f.u.


Entry 6:
Computed, not measured: an optimized crystal structure of Nb2CoCl8 at the GGA-PBE level of DFT.

```
11
Lattice="5.599 -5.244 0.000 5.599 5.244 0.000 -0.027 0.000 6.003" Properties=species:S:1:pos:R:3 pbc="T T T"
Nb 1.617 0.000 1.895
Nb 9.554 0.000 4.108
Co 0.000 0.000 0.000
Cl 4.387 2.964 4.398
Cl 1.453 0.000 4.321
Cl 6.784 2.964 1.604
Cl 3.799 0.000 1.249
Cl 7.372 0.000 4.754
Cl 4.387 -2.964 4.398
Cl 9.718 0.000 1.682
Cl 6.784 -2.964 1.604
```

Output
The crystal system is monoclinic. The calculation puts the density of states at the Fermi level at 0.166 states/eV per atom. For the calculated volume, the calculation gives 352.5 Å³/f.u. The value obtained for the energy relative to the elements, uncorrected is -19.76 kcal/mol of atoms. The calculation puts the total magnetization at 1.06 μB/f.u.


Entry 7:
Computed, not measured: an optimized crystal structure of PmMg2Cd2 at the GGA-PBE level of DFT.

```
10
Lattice="13.735 0.000 0.000 0.000 4.407 0.000 -1.399 0.000 4.179" Properties=species:S:1:pos:R:3 pbc="T T T"
Pm 0.000 0.000 0.000
Pm 6.868 2.203 0.000
Mg 2.384 0.000 3.136
Mg 3.084 2.203 1.043
Mg 9.952 0.000 1.043
Mg 9.251 2.203 3.136
Cd 0.614 2.203 2.537
Cd 4.854 0.000 1.642
Cd 7.481 0.000 2.537
Cd 11.722 2.203 1.642
```

Output
The crystal system is monoclinic. The calculation puts the relative energy among the computed polymorphs at 8 meV per atom. The calculation puts the density of states at the Fermi level at 0.590 states/eV per atom. For the calculated volume, the calculation gives 126.5 Å³/f.u. Its formation energy is -0.19 eV per atom. The calculation puts the total magnetization at 0.00 μB/f.u.


Entry 8:
Computed, not measured: an optimized crystal structure of Pm2NdCu9 at the GGA-PBE level of DFT.

```
12
Lattice="2.625 1.515 8.388 -2.625 1.515 8.388 0.000 -3.031 8.388" Properties=species:S:1:pos:R:3 pbc="T T T"
Pm 0.000 0.000 3.611
Pm 0.000 0.000 21.554
Nd 0.000 0.000 0.000
Cu -1.296 -0.748 10.429
Cu 0.000 0.000 8.345
Cu 0.000 -1.496 14.735
Cu -1.296 0.748 14.735
Cu 0.000 0.000 12.582
Cu 1.296 -0.748 10.429
Cu 0.000 1.496 10.429
Cu 0.000 0.000 16.820
Cu 1.296 0.748 14.735
```

Output
The crystal system is trigonal. The calculation puts the density of states at the Fermi level at 0.635 states/eV per atom. For the calculated volume, the calculation gives 200.2 Å³/f.u. Its formation energy is -0.15 eV per atom. The calculation puts the total magnetization at 0.00 μB/f.u.


Entry 9:
Computed, not measured: an optimized crystal structure of La3HfO6 at the GGA-PBE level of DFT.

```
20
Lattice="4.891 -5.780 0.000 4.891 5.780 0.000 0.000 0.000 5.789" Properties=species:S:1:pos:R:3 pbc="T T T"
La 4.891 4.561 2.895
La 2.901 1.248 2.651
La 2.901 -1.248 5.545
La 6.882 1.248 2.651
La 6.882 -1.248 5.545
La 4.891 -4.561 0.000
Hf 4.891 1.769 5.453
Hf 4.891 -1.769 2.558
O 3.466 2.814 4.522
O 1.482 0.126 4.209
O 1.482 -0.126 1.314
O 4.891 2.515 1.541
O 6.317 2.814 4.522
O 4.891 0.191 3.951
O 4.891 -0.191 1.056
O 3.466 -2.814 1.627
O 4.891 -2.515 4.436
O 8.300 0.126 4.209
O 8.300 -0.126 1.314
O 6.317 -2.814 1.627
```

Output
The crystal system is orthorhombic. The calculation puts the density of states at the Fermi level at 0.239 states/eV per atom. For the calculated volume, the calculation gives 163.7 Å³/f.u. The value obtained for the energy relative to the elements, uncorrected is -76.59 kcal/mol of atoms. The calculation puts the total magnetization at 0.00 μB/f.u.


Entry 10:
Computed, not measured: an optimized crystal structure of Nd2PuPaRu2 at the GGA-PBE level of DFT.

```
12
Lattice="-3.638 6.198 3.561 3.638 -6.198 3.561 3.638 6.198 -3.561" Properties=species:S:1:pos:R:3 pbc="T T T"
Nd 1.527 2.413 0.000
Nd 1.527 -2.413 3.561
Nd 2.111 8.611 0.000
Nd 2.111 3.785 3.561
Pu 0.000 0.000 1.780
Pu 0.000 0.000 5.341
Pa 3.638 0.000 1.780
Pa 0.000 6.198 1.780
Ru 5.372 0.822 0.000
Ru 1.734 5.376 0.000
Ru 1.903 0.822 3.561
Ru -1.734 5.376 3.561
```

Output
The crystal system is orthorhombic. The calculation puts the density of states at the Fermi level at 1.883 states/eV per atom. For the calculated volume, the calculation gives 160.6 Å³/f.u. Its formation energy is -0.20 eV per atom. The calculation puts the total magnetization at 5.80 μB/f.u.


Entry 11:
Computed, not measured: an optimized crystal structure of AgTe2PI at the GGA-PBE level of DFT.

```
5
Lattice="5.335 0.000 0.000 0.000 5.335 0.000 0.000 0.000 5.389" Properties=species:S:1:pos:R:3 pbc="T T T"
Ag 0.000 0.000 0.000
Te 0.000 2.667 2.694
Te 2.667 0.000 2.694
P 2.667 2.667 2.694
I 2.667 2.667 0.000
```

Output
The crystal system is tetragonal. The calculation puts the relative energy among the computed polymorphs at 0 meV per atom. The calculation puts the density of states at the Fermi level at 1.345 states/eV per atom. For the calculated volume, the calculation gives 153.4 Å³/f.u. The value obtained for the energy relative to the elements, uncorrected is 12.56 kcal/mol of atoms. The calculation puts the total magnetization at 0.00 μB/f.u.